Entry from Alexandria via LeMat-Bulk: SrLa2Co at its PBEsol-relaxed geometry (meta-GGA SCAN).

The formation enthalpy at 0 K comes out at 0.53 eV/atom. As for the space-group type: No. 216. The value obtained for the electronic total energy is -30.922 eV/atom. As for the offset from the most stable computed form: 495 meV/atom.

Geometry as extended XYZ:
```
4
Lattice="0.0000 3.7483 3.7483 3.7483 0.0000 3.7483 3.7483 3.7483 0.0000" Properties=species:S:1:pos:R:3 pbc="T T T"
Sr 0.0000 0.0000 0.0000
La 1.8741 1.8741 1.8741
La 3.7483 3.7483 3.7483
Co 5.6224 5.6224 5.6224
```



Entry from Alexandria via LeMat-Bulk: LaTa2Co at its PBEsol-relaxed geometry (meta-GGA SCAN).

The formation enthalpy at 0 K comes out at 0.66 eV/atom. As for the space-group type: No. 225. The value obtained for the electronic total energy is -47.733 eV/atom.

Geometry as extended XYZ:
```
4
Lattice="0.0000 3.2387 3.2387 3.2387 0.0000 3.2387 3.2387 3.2387 0.0000" Properties=species:S:1:pos:R:3 pbc="T T T"
La 0.0000 0.0000 0.0000
Ta 1.6194 1.6194 1.6194
Ta 4.8581 4.8581 4.8581
Co 3.2387 3.2387 3.2387
```



Entry from Alexandria via LeMat-Bulk: La2CoTc at its PBEsol-relaxed geometry (meta-GGA SCAN).

The formation enthalpy at 0 K comes out at 0.24 eV/atom. As for the space-group type: No. 12. The value obtained for the electronic total energy is -34.401 eV/atom.

Geometry as extended XYZ:
```
4
Lattice="3.4637 -3.4647 0.0000 3.4637 3.4647 0.0000 -0.2708 0.0000 3.4682" Properties=species:S:1:pos:R:3 pbc="T T T"
La 1.7318 1.7323 0.0000
La 1.7318 -1.7323 0.0000
Co -0.1354 0.0000 1.7341
Tc 3.3282 0.0000 1.7341
```



Entry from Alexandria via LeMat-Bulk: La2CoTe at its PBEsol-relaxed geometry (meta-GGA SCAN).

The calculation puts the formation energy from raw total energies at -0.694 eV/atom. As for the space-group type: No. 166. The value obtained for the electronic total energy is -35.885 eV/atom.

Geometry as extended XYZ:
```
4
Lattice="2.0664 1.1931 7.4461 -2.0664 1.1931 7.4461 0.0000 -2.3861 7.4461" Properties=species:S:1:pos:R:3 pbc="T T T"
La 0.0000 0.0000 5.2548
La 0.0000 0.0000 17.0835
Co 0.0000 0.0000 11.1692
Te 0.0000 0.0000 0.0000
```



Entry from Alexandria via LeMat-Bulk: La2CoTe at its PBEsol-relaxed geometry (meta-GGA SCAN).

The calculation puts the formation energy from raw total energies at -0.643 eV/atom. As for the space-group type: No. 99. The value obtained for the electronic total energy is -35.834 eV/atom.

Geometry as extended XYZ:
```
4
Lattice="4.3234 0.0000 0.0000 0.0000 4.3234 0.0000 0.0000 0.0000 6.4345" Properties=species:S:1:pos:R:3 pbc="T T T"
La 0.0000 0.0000 0.0000
La 2.1617 2.1617 2.4304
Co 2.1617 2.1617 0.1898
Te 0.0000 0.0000 3.2602
```



Entry from Alexandria via LeMat-Bulk: LaTi3Co at its PBEsol-relaxed geometry (meta-GGA SCAN).

The formation enthalpy at 0 K comes out at 0.13 eV/atom. As for the space-group type: No. 221. The value obtained for the electronic total energy is -21.570 eV/atom.

Geometry as extended XYZ:
```
5
Lattice="4.5970 0.0000 0.0000 0.0000 4.5970 0.0000 0.0000 0.0000 4.5970" Properties=species:S:1:pos:R:3 pbc="T T T"
La 0.0000 0.0000 0.0000
Ti 0.0000 2.2985 2.2985
Ti 2.2985 0.0000 2.2985
Ti 2.2985 2.2985 0.0000
Co 2.2985 2.2985 2.2985
```